Entry 1:
A plane-wave DFT calculation with PBE was carried out for an optimized crystal structure of Al2InCuSe4.

## Properties
**Mass density**: 4.29 g/cm3
**VASP energy**: -31.96 eV for the cell shown

```
8
Lattice="-5.312 -1.782 0.957 2.016 -4.424 2.945 1.442 6.678 3.560" Properties=species:S:1:pos:R:3 pbc="T T T"
Al -2.759 0.897 3.234
Al 0.905 -0.424 4.228
In 0.000 0.001 0.001
Cu -1.648 -3.103 1.951
Se -0.858 1.207 4.766
Se -0.126 -2.643 3.967
Se -3.288 -1.504 3.109
Se 0.564 3.885 3.083
```

Entry 2:
A plane-wave DFT calculation with PBE was carried out for an optimized crystal structure of La2CeZrAs4.

## Properties
**Mass density**: 6.42 g/cm3
**ΔE_f**: -11.244 eV/f.u.

```
8
Lattice="-3.325 2.290 -1.111 -4.333 -4.525 3.640 2.184 5.338 4.469" Properties=species:S:1:pos:R:3 pbc="T T T"
La -0.570 3.814 1.679
La -1.075 0.406 4.055
Ce -3.829 -1.118 1.265
Zr 0.000 0.000 0.000
As -2.177 1.299 1.303
As -3.296 1.804 5.695
As 0.615 2.991 4.327
As -2.764 -2.179 3.782
```

Entry 3:
A plane-wave DFT calculation with PBE was carried out for an optimized crystal structure of K2ErTlF6.

## Properties
**Mass density**: 4.49 g/cm3
**VASP energy**: -51.84 eV for the cell shown

```
10
Lattice="-2.104 4.772 -3.974 1.865 0.093 -6.284 -4.538 -1.482 -4.790" Properties=species:S:1:pos:R:3 pbc="T T T"
K -1.905 2.028 -7.375
K -4.177 -1.231 -4.679
Er -0.262 1.495 -3.475
Tl -2.825 3.065 -11.053
F -1.831 2.336 -4.705
F 0.326 0.783 -8.210
F -2.106 4.431 -8.563
F -3.261 0.873 -9.560
F -4.718 1.951 -7.256
F -3.113 -0.485 -6.965
```

Entry 4:
A plane-wave DFT calculation with PBE was carried out for an optimized crystal structure of K12RbHg4.

## Properties
**Mass density**: 1.77 g/cm3
**ΔE_f**: -0.258 eV/f.u.

```
17
Lattice="11.140 0.000 -3.939 -5.570 9.648 -3.939 0.000 0.000 11.816" Properties=species:S:1:pos:R:3 pbc="T T T"
K 9.719 2.462 3.857
K 6.876 2.462 -3.939
K 0.000 4.924 0.000
K 1.421 2.462 4.020
K 5.570 4.724 3.939
K -1.306 7.186 7.877
K 2.727 9.648 -3.857
K 2.843 0.000 7.796
K 4.149 7.186 -0.082
K 4.264 2.462 0.000
K 1.306 7.186 3.939
K -4.149 7.186 0.082
Rb 0.000 0.000 0.000
Hg -2.785 4.824 -1.969
Hg 0.000 0.000 5.908
Hg 5.570 0.000 -1.969
Hg 2.785 4.824 1.969
```

Entry 5:
A plane-wave DFT calculation with PBE was carried out for an optimized crystal structure of Sm3HoSc2Se6.

## Properties
**Mass density**: 6.92 g/cm3
**VASP energy**: -72.94 eV for the cell shown

```
12
Lattice="6.984 -0.016 -0.003 -3.504 6.041 -0.003 -1.164 -2.015 6.723" Properties=species:S:1:pos:R:3 pbc="T T T"
Sm -2.385 4.051 3.358
Sm 4.701 -0.041 3.358
Sm 1.158 2.005 3.358
Ho 0.000 0.000 0.000
Sc -0.005 4.021 -0.003
Sc 3.485 2.005 -0.003
Se 3.515 1.948 5.161
Se 2.289 3.963 1.524
Se -1.199 2.063 1.555
Se -0.070 4.018 5.161
Se 0.027 0.047 5.192
Se 2.386 -0.008 1.555
```

Entry 6:
A plane-wave DFT calculation with PBE was carried out for an optimized crystal structure of Cd2WCl.

## Properties
**Mass density**: 8.93 g/cm3
**Offset from the most stable computed form**: 550 meV per atom

```
4
Lattice="2.845 0.000 0.000 0.000 4.983 0.000 0.000 0.000 5.826" Properties=species:S:1:pos:R:3 pbc="T T T"
Cl 0.000 0.000 2.683
W 1.423 2.492 4.671
Cd 0.000 0.000 5.503
Cd 1.423 2.492 1.706
```

Entry 7:
A plane-wave DFT calculation with PBE was carried out for an optimized crystal structure of Ti2GaHPt.

## Properties
**Mass density**: 9.26 g/cm3
**Offset from the most stable computed form**: 0 meV per atom

```
5
Lattice="-2.128 -1.122 3.263 3.389 0.043 2.224 -0.633 3.792 0.891" Properties=species:S:1:pos:R:3 pbc="T T T"
H 0.000 0.000 0.000
Ga 0.314 1.357 3.189
Pt -0.316 1.896 0.446
Ti 1.694 0.021 1.112
Ti -1.064 -0.561 1.632
```

Entry 8:
A plane-wave DFT calculation with PBE was carried out for an optimized crystal structure of CsNaTl2Hg4.

## Properties
**Mass density**: 8.45 g/cm3
**ΔE_f**: -1.329 eV/f.u.

```
8
Lattice="-0.867 -2.841 4.309 -2.537 -4.565 -0.342 8.714 -7.826 -0.229" Properties=species:S:1:pos:R:3 pbc="T T T"
Cs 0.000 0.000 0.000
Na 2.656 -7.616 1.869
Tl 3.460 -11.139 2.886
Tl 1.852 -4.093 0.852
Hg 5.564 -9.198 1.411
Hg 0.639 -9.605 3.330
Hg 4.673 -5.627 0.407
Hg -0.253 -6.034 2.327
```